Entry 1:
Compound: LuBO3
Source: the Alexandria database
Functional: PBE
Structure: optimized geometry

Geometry as POSCAR:
```
LuBO3
1.0
8.239 0.000 0.000
0.000 3.166 2.198
0.000 -3.166 2.198
Lu B O
2 2 6
direct
0.000 0.000 0.000
0.500 0.000 0.000
0.250 0.684 0.404
0.750 0.404 0.684
0.100 0.582 0.233
0.250 0.924 0.766
0.400 0.582 0.233
0.600 0.233 0.582
0.750 0.766 0.924
0.900 0.233 0.582
```

Results
Formation energy without anion corrections   -3076.3 meV per atom
Density   6.77 g cm⁻³
DOS at the Fermi energy   0.00 states/eV per cell
Magnetization   0.00 μB per cell

Entry 2:
Compound: Tl2CrAs
Source: the Alexandria database
Functional: PBE
Structure: optimized geometry

Geometry as POSCAR:
```
Tl2CrAs
1.0
-5.226 5.226 2.290
5.226 -5.226 2.290
5.226 5.226 -2.290
Tl Cr As
4 2 2
direct
0.375 0.126 0.251
0.874 0.125 0.249
0.875 0.124 0.749
0.876 0.625 0.751
0.000 0.000 0.000
0.750 0.250 0.500
0.250 0.750 0.500
0.500 0.500 0.000
```

Results
ΔE to the lowest computed polymorph   0.213 eV per atom
Density   7.11 g cm⁻³
DOS at the Fermi energy   1.65 states/eV per cell
Formation enthalpy at 0 K   0.33 eV per atom
Magnetization   2.00 μB per cell

Entry 3:
Compound: SrMg2CdAu4
Source: the Alexandria database
Functional: PBE
Structure: optimized geometry

Geometry as POSCAR:
```
SrMg2CdAu4
1.0
2.335 1.348 9.420
-2.335 1.348 9.420
0.000 -2.696 9.420
Sr Mg Cd Au
1 2 1 4
direct
0.000 0.000 0.000
0.235 0.235 0.235
0.765 0.765 0.765
0.500 0.500 0.500
0.124 0.124 0.124
0.400 0.400 0.400
0.600 0.600 0.600
0.876 0.876 0.876
```

Results
Density   9.68 g cm⁻³
DOS at the Fermi energy   2.95 states/eV per cell
Formation enthalpy at 0 K   -0.52 eV per atom
Magnetization   0.00 μB per cell